Entry 1:
A plane-wave DFT calculation with PBE was carried out for a relaxed structure of Pr6AuS4.

abc: 4.0678 13.6374 21.1871
angles: 90.00 90.00 90.00
Closest atoms and distances in Å follow each position.
Space group Cmcm (No. 63)
Symmetry-distinct sites (fractional):
Pr 0.0000 0.0000 0.0000  6 S 2.90-2.91
Pr 0.0000 0.1710 0.2500  2 S 2.88, 2 Au 3.07
Pr 0.0000 0.2739 0.5817  5 S 2.86-2.89
Pr 0.0000 0.4520 0.1618  3 S 2.84-2.89, 2 Au 3.16
Au 0.0000 0.1605 0.7500  6 Pr 3.07-3.16
S 0.0000 0.0909 0.1242  6 Pr 2.88-2.91
S 0.0000 0.3626 0.0405  6 Pr 2.84-2.90

Properties
The uncorrected formation energy comes out at -155 kJ/mol of atoms. As for the total energy: -6.014 eV/atom.

Entry 2:
A plane-wave DFT calculation with PBE was carried out for a relaxed structure of Ac4SbP2O.

abc: 4.4480 14.6500 15.3323
angles: 90.00 90.00 90.00
Closest atoms and distances in Å follow each position.
Space group Cmcm (No. 63)
Symmetry-distinct sites (fractional):
Ac 0.0000 0.0000 0.0000  4 P 3.09
Ac 0.0000 0.2644 0.1218  1 O 2.47
Ac 0.0000 0.4258 0.7500  2 O 2.57
Sb 0.0000 0.1062 0.7500  6 Ac 3.45-3.52
P 0.0000 0.3660 0.5569  6 Ac 3.09-3.12
O 0.0000 0.1622 0.2500  4 Ac 2.47-2.57

Properties
The uncorrected formation energy comes out at -167 kJ/mol of atoms. As for the total energy: -6.277 eV/atom.

Entry 3:
A plane-wave DFT calculation with PBE was carried out for a relaxed structure of UPRu3.

abc: 3.9319 3.9319 10.5288
angles: 90.00 90.00 90.00
Closest atoms and distances in Å follow each position.
Space group I4mm (No. 107)
Symmetry-distinct sites (fractional):
U 0.0000 0.0000 0.0000  8 Ru 2.94-3.23, 4 P 3.08
P 0.0000 0.0000 0.3741  5 Ru 2.27-2.32
Ru 0.0000 0.0000 0.5894  1 P 2.27
Ru 0.0000 0.5000 0.2563  2 P 2.32

Properties
For the energy of formation from the pure elements, the calculation gives -1.97 eV/f.u. As for the total energy: -9.299 eV/atom. The calculation puts the energy above the most stable polymorph in this dataset at 5 meV/atom.

Entry 4:
A plane-wave DFT calculation with PBE was carried out for a relaxed structure of DyThIrRh.

abc: 7.0225 7.0225 7.0225
angles: 90.00 90.00 90.00
Closest atoms and distances in Å follow each position.
Space group F-43m (No. 216)
Symmetry-distinct sites (fractional):
Dy 0.0000 0.0000 0.0000  4 Ir 3.04, 4 Rh 3.04
Th 0.0000 0.0000 0.5000  4 Ir 3.04, 4 Rh 3.04
Ir 0.2500 0.2500 0.2500  4 Th 3.04, 4 Dy 3.04
Rh 0.2500 0.2500 0.7500  4 Th 3.04, 4 Dy 3.04

Properties
For the energy of formation from the pure elements, the calculation gives -3.26 eV/f.u. As for the total energy: -7.873 eV/atom. The calculation puts the energy above the most stable polymorph in this dataset at 102 meV/atom.

Entry 5:
A plane-wave DFT calculation with PBE was carried out for a relaxed structure of Na2HfCl5.

abc: 12.8032 7.5870 7.5012
angles: 90.00 119.86 90.00
Closest atoms and distances in Å follow each position.
Space group Cm (No. 8)
Symmetry-distinct sites (fractional):
Na 0.0000 0.0000 0.0000  5 Cl 2.73-2.83
Na 0.0856 0.5000 0.5509  5 Cl 2.76-2.82
Hf 0.1117 0.5000 0.0434  5 Cl 2.46-2.51
Cl 0.0166 0.2688 0.7687  1 Hf 2.51, 1 Na 2.75
Cl 0.1163 0.2767 0.2846  1 Hf 2.46
Cl 0.2737 0.5000 0.9503  1 Hf 2.50, 2 Na 2.73-2.76

Properties
The uncorrected formation energy comes out at -154 kJ/mol of atoms. As for the total energy: -4.324 eV/atom.

Entry 6:
A plane-wave DFT calculation with PBE was carried out for a relaxed structure of Sr2TcAs.

abc: 3.4581 3.4581 9.0926
angles: 90.00 90.00 90.00
Closest atoms and distances in Å follow each position.
Space group P4mm (No. 99)
Symmetry-distinct sites (fractional):
Sr 0.0000 0.0000 0.0000  1 Tc 3.10, 4 As 3.25, 4 Sr 3.46
Sr 0.5000 0.5000 0.4111  1 As 3.22, 4 Tc 3.32, 4 Sr 3.46
Tc 0.0000 0.0000 0.6586  4 As 2.63
As 0.5000 0.5000 0.7651  4 Tc 2.63

Properties
For the energy of formation from the pure elements, the calculation gives -0.31 eV/f.u. As for the total energy: -4.673 eV/atom.

Entry 7:
A plane-wave DFT calculation with PBE was carried out for a relaxed structure of SiTc2P.

abc: 2.9486 2.9486 21.7679
angles: 90.00 90.00 120.00
Closest atoms and distances in Å follow each position.
Space group R3m (No. 160, hexagonal axes)
Symmetry-distinct sites (fractional):
Si 0.0000 0.0000 0.0000  6 Tc 2.49-2.51
Tc 0.0000 0.0000 0.5822  3 P 2.48, 3 Si 2.51
Tc 0.0000 0.0000 0.7501  3 P 2.48, 3 Si 2.49
P 0.0000 0.0000 0.1662  6 Tc 2.48

Properties
The uncorrected formation energy comes out at -34 kJ/mol of atoms. As for the total energy: -8.240 eV/atom. The calculation puts the energy above the most stable polymorph in this dataset at 153 meV/atom.

Entry 8:
A plane-wave DFT calculation with PBE was carried out for a relaxed structure of SrZnO3.

abc: 4.4744 4.4744 4.4744
angles: 90.00 90.00 90.00
Closest atoms and distances in Å follow each position.
Space group Pm-3m (No. 221)
Symmetry-distinct sites (fractional):
Sr 0.0000 0.0000 0.0000  6 O 2.24
Zn 0.5000 0.5000 0.5000  12 O 3.16
O 0.0000 0.0000 0.5000  2 Sr 2.24

Properties
The uncorrected formation energy comes out at -9 kJ/mol of atoms. As for the total energy: -3.661 eV/atom.

Entry 9:
A plane-wave DFT calculation with PBE was carried out for a relaxed structure of Tc3SnSb.

abc: 4.8474 4.8474 4.8474
angles: 90.00 90.00 90.00
Closest atoms and distances in Å follow each position.
Space group Pm-3m (No. 221)
Symmetry-distinct sites (fractional):
Tc 0.0000 0.0000 0.5000  2 Sb 2.42
Sn 0.5000 0.5000 0.5000  12 Tc 3.43
Sb 0.0000 0.0000 0.0000  6 Tc 2.42

Properties
The uncorrected formation energy comes out at 155 kJ/mol of atoms. As for the total energy: -6.238 eV/atom. The calculation puts the energy above the most stable polymorph in this dataset at 0 meV/atom.

Entry 10:
A plane-wave DFT calculation with PBE was carried out for a relaxed structure of Be11Ir3.

abc: 3.5599 7.5020 9.6544
angles: 90.00 90.00 90.00
Closest atoms and distances in Å follow each position.
Space group Immm (No. 71)
Symmetry-distinct sites (fractional):
Be 0.0000 0.0000 0.0000  8 Be 2.10-2.15
Be 0.0000 0.1339 0.3464  5 Be 2.01-2.17
Be 0.0000 0.2225 0.1322  6 Be 2.09-2.24
Be 0.0000 0.3401 0.5000  9 Be 2.14-2.40, 2 Ir 2.33
Ir 0.0000 0.5000 0.0000  12 Be 2.44-2.53
Ir 0.0000 0.5000 0.2929  12 Be 2.33-2.60

Properties
For the energy of formation from the pure elements, the calculation gives -4.11 eV/f.u. As for the total energy: -5.120 eV/atom.

Entry 11:
A plane-wave DFT calculation with PBE was carried out for a relaxed structure of YSiTe2.

abc: 14.8227 4.5375 3.9157
angles: 90.00 105.08 90.00
Closest atoms and distances in Å follow each position.
Space group C2/m (No. 12)
Symmetry-distinct sites (fractional):
Y 0.0000 0.0000 0.0000  4 Si 3.00, 4 Te 3.08
Si 0.0000 0.5000 0.5000  4 Te 2.86, 4 Y 3.00
Te 0.1460 0.5000 0.1439  2 Si 2.86, 2 Y 3.08

Properties
The uncorrected formation energy comes out at -53 kJ/mol of atoms. As for the total energy: -5.096 eV/atom.

Entry 12:
A plane-wave DFT calculation with PBE was carried out for a relaxed structure of HfTlOs3.

abc: 4.8260 4.8260 4.8260
angles: 90.00 90.00 90.00
Closest atoms and distances in Å follow each position.
Space group Pm-3m (No. 221)
Symmetry-distinct sites (fractional):
Hf 0.0000 0.0000 0.0000  12 Os 3.41
Tl 0.5000 0.5000 0.5000  6 Os 2.41
Os 0.0000 0.5000 0.5000  2 Tl 2.41

Properties
For the energy of formation from the pure elements, the calculation gives 13.00 eV/f.u. As for the total energy: -6.602 eV/atom. The calculation puts the energy above the most stable polymorph in this dataset at 380 meV/atom.